## P
Crystalline La2ZnNiAu at its relaxed geometry, computed with PBE.

calculated volume: 25.9 Å³ per atom
magnetic moment: 0.0 Bohr magnetons per cell
density: 7.667 g/cm³
symmetry: P4/mmm (123)

Lattice parameters (Å, degrees): 5.336 5.336 4.555 90.00 90.00 90.00
Positions (direct):
La 0.000 0.500 0.000
La 0.500 0.000 0.000
Zn 0.000 0.000 0.500
Ni 0.000 0.000 0.000
Au 0.500 0.500 0.500


## Q
Crystalline La2ZnNiAu at its relaxed geometry, computed with PBE.

calculated volume: 23.5 Å³ per atom
magnetic moment: 0.0 Bohr magnetons per cell
density: 8.480 g/cm³
symmetry: P2_1/m (11)

Lattice parameters (Å, degrees): 7.505 4.457 7.580 90.00 112.32 90.00
Positions (direct):
La 0.039 0.250 0.211
La 0.354 0.750 0.632
La 0.646 0.250 0.368
La 0.961 0.750 0.789
Zn 0.326 0.250 0.934
Zn 0.674 0.750 0.066
Ni 0.076 0.250 0.594
Ni 0.924 0.750 0.406
Au 0.338 0.750 0.173
Au 0.662 0.250 0.827


Most stable pick: Q. Distance to second place: 16.5 kJ/mol of atoms.


## P
Crystalline La2AuO4 at its relaxed geometry, computed with PBE.

calculated volume: 15.7 Å³ per atom
magnetic moment: 0.0 Bohr magnetons per cell
density: 8.116 g/cm³
symmetry: I4/mmm (139)

Lattice parameters (Å, degrees): 6.907 6.907 6.907 144.55 144.55 51.00
Positions (direct):
La 0.153 0.153 0.000
La 0.847 0.847 0.000
Au 0.500 0.500 0.000
O 0.000 0.500 0.500
O 0.250 0.750 0.500
O 0.500 0.000 0.500
O 0.750 0.250 0.500


## Q
Crystalline La2AuO4 at its relaxed geometry, computed with PBE.

calculated volume: 16.1 Å³ per atom
magnetic moment: 0.0 Bohr magnetons per cell
density: 7.929 g/cm³
symmetry: Cmce (64)

Lattice parameters (Å, degrees): 7.053 7.053 5.938 90.00 90.00 49.82
Positions (direct):
La 0.156 0.156 0.000
La 0.344 0.344 0.500
La 0.656 0.656 0.500
La 0.844 0.844 0.000
Au 0.000 0.000 0.500
Au 0.500 0.500 0.000
O 0.010 0.490 0.750
O 0.190 0.810 0.810
O 0.310 0.690 0.310
O 0.490 0.010 0.250
O 0.510 0.990 0.750
O 0.690 0.310 0.690
O 0.810 0.190 0.190
O 0.990 0.510 0.250


Most stable pick: Q. Distance to second place: 2.9 kJ/mol of atoms.


## P
Crystalline La4Au2O at its relaxed geometry, computed with PBE.

calculated volume: 27.3 Å³ per atom
magnetic moment: 0.0 Bohr magnetons per cell
density: 8.384 g/cm³
symmetry: I4/mmm (139)

Lattice parameters (Å, degrees): 8.486 8.486 8.486 145.90 145.90 48.99
Positions (direct):
La 0.000 0.500 0.500
La 0.182 0.182 0.000
La 0.500 0.000 0.500
La 0.818 0.818 0.000
Au 0.370 0.370 0.000
Au 0.630 0.630 0.000
O 0.000 0.000 0.000


## Q
Crystalline La4Au2O at its relaxed geometry, computed with PBE.

calculated volume: 27.8 Å³ per atom
magnetic moment: 0.0 Bohr magnetons per cell
density: 8.251 g/cm³
symmetry: Pbam (55)

Lattice parameters (Å, degrees): 7.472 13.375 3.889 90.00 90.00 90.00
Positions (direct):
La 0.101 0.187 0.000
La 0.223 0.958 0.500
La 0.277 0.458 0.500
La 0.399 0.687 0.000
La 0.601 0.313 0.000
La 0.723 0.542 0.500
La 0.777 0.042 0.500
La 0.899 0.813 0.000
Au 0.075 0.663 0.500
Au 0.425 0.163 0.500
Au 0.575 0.837 0.500
Au 0.925 0.337 0.500
O 0.000 0.000 0.000
O 0.500 0.500 0.000


Most stable pick: P. Distance to second place: 10.3 kJ/mol of atoms.


## P
Crystalline LaAuO2 at its relaxed geometry, computed with PBE.

calculated volume: 18.4 Å³ per atom
magnetic moment: 0.0 Bohr magnetons per cell
density: 8.288 g/cm³
symmetry: P1 (1)

Lattice parameters (Å, degrees): 3.921 5.640 6.851 83.40 78.35 88.81
Positions (direct):
La 0.000 0.000 0.000
La 0.387 0.485 0.330
Au 0.476 0.506 0.825
Au 0.631 0.972 0.534
O 0.337 0.234 0.681
O 0.504 0.766 0.012
O 0.879 0.740 0.347
O 0.944 0.292 0.197


## Q
Crystalline LaAuO2 at its relaxed geometry, computed with PBE.

calculated volume: 19.1 Å³ per atom
magnetic moment: 0.0 Bohr magnetons per cell
density: 7.976 g/cm³
symmetry: Immm (71)

Lattice parameters (Å, degrees): 7.266 7.266 7.266 149.20 128.10 61.58
Positions (direct):
La 0.201 0.201 0.000
La 0.799 0.799 0.000
Au 0.251 0.500 0.751
Au 0.749 0.500 0.249
O 0.074 0.336 0.738
O 0.402 0.664 0.738
O 0.598 0.336 0.262
O 0.926 0.664 0.262


## R
Crystalline LaAuO2 at its relaxed geometry, computed with PBE.

calculated volume: 19.7 Å³ per atom
magnetic moment: 0.0 Bohr magnetons per cell
density: 7.739 g/cm³
symmetry: P6_3/mmc (194)

Lattice parameters (Å, degrees): 3.893 3.893 12.029 90.00 90.00 120.00
Positions (direct):
La 0.000 0.000 0.000
La 0.000 0.000 0.500
Au 0.333 0.667 0.250
Au 0.667 0.333 0.750
O 0.333 0.667 0.081
O 0.333 0.667 0.419
O 0.667 0.333 0.581
O 0.667 0.333 0.919


Most stable pick: R. Distance to second place: 2.0 kJ/mol of atoms.